An optimized crystal structure of ScMnTl2F6. Source: the Alexandria database, functional PBE+U. Values from VASP.

Quantum ESPRESSO input file:
```
&SYSTEM
  ibrav = 0, nat = 20, ntyp = 4
/
ATOMIC_SPECIES
Sc 44.96 Sc.upf
Mn 54.94 Mn.upf
Tl 204.38 Tl.upf
F 19.00 F.upf
ATOMIC_POSITIONS crystal
Sc 0.250 0.250 0.250
Sc 0.750 0.750 0.750
Mn 0.250 0.750 0.250
Mn 0.750 0.250 0.750
Tl 0.250 0.000 0.750
Tl 0.250 0.500 0.750
Tl 0.750 0.000 0.250
Tl 0.750 0.500 0.250
F 0.013 0.250 0.013
F 0.014 0.250 0.486
F 0.250 0.013 0.250
F 0.250 0.487 0.250
F 0.486 0.250 0.486
F 0.487 0.250 0.013
F 0.513 0.750 0.987
F 0.514 0.750 0.514
F 0.750 0.513 0.750
F 0.750 0.987 0.750
F 0.986 0.750 0.514
F 0.987 0.750 0.987
CELL_PARAMETERS angstrom
6.169 0.000 0.000
0.000 8.723 0.000
0.000 0.000 6.167
```

Values from the calculation:
DFT total energy in eV/cell: -111.25
SG: Pmmn (59)
Total magnetic moment in μB/f.u.: 5.227
Volume in A^3/atom: 16.59